Computed, not measured: a relaxed Ho2MgRh crystal at the PBE level of DFT.

The structure in POSCAR format:
```
Ho2MgRh
1.0
3.814 0.000 0.000
-1.907 3.303 0.000
0.000 0.000 29.861
Ho Mg Rh
6 3 3
direct
0.000 0.000 0.114
0.000 0.000 0.886
0.333 0.667 0.553
0.333 0.667 0.781
0.667 0.333 0.219
0.667 0.333 0.447
0.000 0.000 0.000
0.333 0.667 0.667
0.667 0.333 0.333
0.000 0.000 0.500
0.333 0.667 0.167
0.667 0.333 0.833
```

- Formation energy from the elements: -0.19 eV/atom
- D(E_F): 7.62 states/eV/cell
- Volume: 31.34 A^3/atom